[1]
# PBE-GGA TlBiPtO6, optimized geometry
data_TlBiPtO6
_cell_length_a 4.944
_cell_length_b 4.944
_cell_length_c 10.156
_cell_angle_alpha 90.00
_cell_angle_beta 90.00
_cell_angle_gamma 90.00
_symmetry_space_group_name_H-M 'P 42 n m'
_symmetry_Int_Tables_number 102
loop_
_symmetry_equiv_pos_as_xyz
'x,y,z'
'-y+1/2,x+1/2,z+1/2'
'-x,-y,z'
'y+1/2,-x+1/2,z+1/2'
'-x+1/2,y+1/2,z+1/2'
'y,x,z'
'x+1/2,-y+1/2,z+1/2'
'-y,-x,z'
loop_
_atom_site_label
_atom_site_type_symbol
_atom_site_fract_x
_atom_site_fract_y
_atom_site_fract_z
_atom_site_occupancy
Tl1 Tl 0.000 0.000 0.000 1
Bi1 Bi 0.000 0.000 0.669 1
Pt1 Pt 0.000 0.000 0.335 1
O1 O 0.181 0.181 0.489 1
O2 O 0.184 0.184 0.182 1
O3 O 0.211 0.211 0.832 1
# - E_form (uncorrected): -0.639 eV/atom



[2]
# PBE-GGA BeAsSe2Cl, optimized geometry
data_BeAsSe2Cl
_cell_length_a 4.430
_cell_length_b 4.430
_cell_length_c 5.050
_cell_angle_alpha 90.00
_cell_angle_beta 90.00
_cell_angle_gamma 90.00
_symmetry_space_group_name_H-M 'P 4/m m m'
_symmetry_Int_Tables_number 123
_symmetry_space_group_name_Hall '-P 4 2'
loop_
_atom_site_label
_atom_site_type_symbol
_atom_site_fract_x
_atom_site_fract_y
_atom_site_fract_z
_atom_site_occupancy
Be1 Be 0.000 0.000 0.000 1
As1 As 0.000 0.000 0.500 1
Se1 Se 0.000 0.500 0.000 1
Cl1 Cl 0.500 0.500 0.500 1
# - Offset from the most stable computed form: 0 meV per atom
# - E_form (uncorrected): 0.364 eV/atom



[3]
# PBE-GGA Nd2Hg2Pd5, optimized geometry
data_Nd2Hg2Pd5
_cell_length_a 16.440
_cell_length_b 5.253
_cell_length_c 8.996
_cell_angle_alpha 90.00
_cell_angle_beta 90.00
_cell_angle_gamma 90.00
_symmetry_space_group_name_H-M 'I m a 2'
_symmetry_Int_Tables_number 46
loop_
_symmetry_equiv_pos_as_xyz
'x,y,z'
'-x,-y,z'
'-x+1/2,y,z'
'x+1/2,-y,z'
'x+1/2,y+1/2,z+1/2'
'-x+1/2,-y+1/2,z+1/2'
'-x,y+1/2,z+1/2'
'x,-y+1/2,z+1/2'
loop_
_atom_site_label
_atom_site_type_symbol
_atom_site_fract_x
_atom_site_fract_y
_atom_site_fract_z
_atom_site_occupancy
Nd1 Nd 0.125 0.168 0.000 1
Hg1 Hg 0.000 0.000 0.295 1
Hg2 Hg 0.250 0.668 0.066 1
Pd1 Pd 0.060 0.681 0.073 1
Pd2 Pd 0.159 0.687 0.809 1
Pd3 Pd 0.250 0.233 0.764 1
# - Formation energy from the elements: -11.29 kcal/mol of atoms



[4]
# PBE-GGA Rb2NaH8, optimized geometry
data_Rb2NaH8
_cell_length_a 14.486
_cell_length_b 3.038
_cell_length_c 7.565
_cell_angle_alpha 90.00
_cell_angle_beta 113.07
_cell_angle_gamma 90.00
_symmetry_space_group_name_H-M 'C 1 2/m 1'
_symmetry_Int_Tables_number 12
loop_
_symmetry_equiv_pos_as_xyz
'x,y,z'
'-x,-y,-z'
'-x,y,-z'
'x,-y,z'
'x+1/2,y+1/2,z'
'-x+1/2,-y+1/2,-z'
'-x+1/2,y+1/2,-z'
'x+1/2,-y+1/2,z'
loop_
_atom_site_label
_atom_site_type_symbol
_atom_site_fract_x
_atom_site_fract_y
_atom_site_fract_z
_atom_site_occupancy
Rb1 Rb 0.205 0.000 0.239 1
Na1 Na 0.000 0.500 0.500 1
H1 H 0.007 0.000 0.957 1
H2 H 0.126 0.500 0.429 1
H3 H 0.127 0.500 0.845 1
H4 H 0.128 0.000 0.837 1
# - Final energy: -0.1826 Ry/atom